Material: TePtCl2
Method: DFT, meta-GGA SCAN
State: PBEsol geometry

ΔE_f (raw)	3.14	eV per formula unit
E	-120.258	eV per formula unit
M_tot	0.00	μB per formula unit

a b c (Å): 6.7640 6.7640 6.7640
angles (deg): 90.00 90.00 90.00
With the nearest neighbours (Å) after each atom.
Fractional coordinates of all 16 atoms:
1 Te 0.0000 0.0000 0.0000  8 Cl 2.93
2 Te 0.0000 0.5000 0.5000  8 Cl 2.93
3 Te 0.5000 0.0000 0.5000  8 Cl 2.93
4 Te 0.5000 0.5000 0.0000  8 Cl 2.93
5 Pt 0.0000 0.0000 0.5000  8 Cl 2.93
6 Pt 0.0000 0.5000 0.0000  8 Cl 2.93
7 Pt 0.5000 0.0000 0.0000  8 Cl 2.93
8 Pt 0.5000 0.5000 0.5000  8 Cl 2.93
9 Cl 0.2500 0.2500 0.2500  4 Te 2.93, 4 Pt 2.93
10 Cl 0.2500 0.2500 0.7500  4 Te 2.93, 4 Pt 2.93
11 Cl 0.2500 0.7500 0.2500  4 Te 2.93, 4 Pt 2.93
12 Cl 0.2500 0.7500 0.7500  4 Te 2.93, 4 Pt 2.93
13 Cl 0.7500 0.2500 0.2500  4 Te 2.93, 4 Pt 2.93
14 Cl 0.7500 0.2500 0.7500  4 Te 2.93, 4 Pt 2.93
15 Cl 0.7500 0.7500 0.2500  4 Te 2.93, 4 Pt 2.93
16 Cl 0.7500 0.7500 0.7500  4 Te 2.93, 4 Pt 2.93

Material: Te2PtCl
Method: DFT, meta-GGA SCAN
State: PBEsol geometry

ΔE_f (raw)	-0.55	eV per formula unit
E	-153.223	eV per formula unit
M_tot	0.00	μB per formula unit

a b c (Å): 3.4960 3.5079 8.7212
angles (deg): 90.00 90.00 90.00
With the nearest neighbours (Å) after each atom.
Fractional coordinates of all 4 atoms:
1 Te 0.0000 0.0000 0.0000  1 Cl 2.46, 4 Pt 2.67
2 Te 0.5000 0.5000 0.4100  1 Pt 2.59
3 Pt 0.5000 0.5000 0.1133  5 Te 2.59-2.67
4 Cl 0.0000 0.0000 0.7177  1 Te 2.46

Material: Te2PtCl
Method: DFT, meta-GGA SCAN
State: PBEsol geometry

ΔE_f (raw)	-0.33	eV per formula unit
E	-153.006	eV per formula unit
M_tot	0.00	μB per formula unit

a b c (Å): 4.1708 5.6768 7.9378
angles (deg): 90.00 90.00 90.00
With the nearest neighbours (Å) after each atom.
Fractional coordinates of all 8 atoms:
1 Te 0.0000 0.0000 0.1968  2 Pt 2.61
2 Te 0.0000 0.0000 0.8032  2 Pt 2.61
3 Te 0.5000 0.5000 0.3032  2 Pt 2.61
4 Te 0.5000 0.5000 0.6968  2 Pt 2.61
5 Pt 0.0000 0.5000 0.5000  4 Te 2.61
6 Pt 0.5000 0.0000 0.0000  4 Te 2.61
7 Cl 0.0000 0.5000 0.0000  8 Te 3.18-3.24, 4 Pt 3.52
8 Cl 0.5000 0.0000 0.5000  8 Te 3.18-3.24, 4 Pt 3.52